First-principles (PBE) data for Cd7PbAu4 after structural relaxation, as listed in the Alexandria database.

Unit cell a=5.576 b=8.741 c=6.676 alpha=79.77 beta=65.32 gamma=71.40
Sites, in units of the cell vectors:
Cd  0.324  0.589  0.763
Pb  0.000  0.000  0.000
Cd  0.219  0.094  0.468
Au  0.559  0.241  0.641
Au  0.716  0.671  0.897
Cd  0.781  0.906  0.532
Cd  0.953  0.372  0.721
Au  0.284  0.329  0.103
Cd  0.047  0.628  0.279
Au  0.441  0.759  0.359
Cd  0.500  0.000  0.000
Cd  0.676  0.411  0.237

Electronic total energy = -23.36 eV per cell
Crystal system = monoclinic
Formation energy = -0.012 eV/atom
Spin magnetization = 0.000 μB per atom